Record 1
Material: Sr2AlOs
Method: DFT, GGA-PBEsol
State: optimized geometry

The density of states at the Fermi level comes out at 2.9 states/eV/f.u. The value obtained for the total magnetic moment is 0.000 μB/atom. As for the calculated formation energy: 0.81 eV per atom. The calculation puts the calculated volume at 101 Å³/f.u.

Cell lengths 3.387, 3.387, 10.319 Å; angles 80.55, 80.55, 60.00 degrees
Sites, in units of the cell vectors:
Sr1 0.260 0.260 0.219
Sr2 0.740 0.740 0.781
Os1 0.000 0.000 0.000
Al1 0.500 0.500 0.500


Record 2
Material: CaGaPb2I
Method: DFT, GGA-PBEsol
State: optimized geometry

The density of states at the Fermi level comes out at 3.0 states/eV/f.u. As for the raw formation energy: -0.074 eV/atom. The value obtained for the total magnetic moment is 0.000 μB/atom. The calculation puts the calculated volume at 171 Å³/f.u.

Cell lengths 5.364, 5.364, 5.949 Å; angles 90.00, 90.00, 90.00 degrees
Sites, in units of the cell vectors:
Pb1 0.000 0.500 0.000
Pb2 0.500 0.000 0.000
I1 0.500 0.500 0.500
Ca1 0.000 0.000 0.500
Ga1 0.000 0.000 0.000


Record 3
Material: Mg2CuRh
Method: DFT, GGA-PBEsol
State: optimized geometry

The density of states at the Fermi level comes out at 1.4 states/eV/f.u. The value obtained for the total magnetic moment is 0.000 μB/atom. As for the calculated formation energy: -0.23 eV per atom. The calculation puts the calculated volume at 60 Å³/f.u.

Cell lengths 3.048, 4.391, 5.026 Å; angles 109.24, 107.65, 90.00 degrees
Sites, in units of the cell vectors:
Mg1 0.986 0.958 0.971
Mg2 0.765 0.294 0.530
Rh1 0.512 0.477 0.025
Cu1 0.237 0.771 0.474


Record 4
Material: SrCdIn4
Method: DFT, GGA-PBEsol
State: optimized geometry

The density of states at the Fermi level comes out at 2.8 states/eV/f.u. The value obtained for the total magnetic moment is 0.000 μB/atom. As for the calculated formation energy: -0.15 eV per atom. The calculation puts the calculated volume at 163 Å³/f.u.

Cell lengths 6.133, 6.133, 6.133 Å; angles 60.00, 60.00, 60.00 degrees
Sites, in units of the cell vectors:
Cd1 0.000 0.000 0.000
In1 0.375 0.375 0.375
In2 0.375 0.375 0.876
In3 0.876 0.375 0.375
In4 0.375 0.876 0.375
Sr1 0.750 0.750 0.750


Record 5
Material: Cr4SbCl
Method: DFT, GGA-PBEsol
State: optimized geometry

The density of states at the Fermi level comes out at 6.0 states/eV/f.u. As for the raw formation energy: 0.763 eV/atom. The value obtained for the total magnetic moment is 0.000 μB/atom. The calculation puts the calculated volume at 83 Å³/f.u.

Cell lengths 4.905, 4.905, 4.905 Å; angles 60.00, 60.00, 60.00 degrees
Sites, in units of the cell vectors:
Cl1 0.000 0.000 0.000
Cr1 0.371 0.371 0.371
Cr2 0.371 0.371 0.888
Cr3 0.888 0.371 0.371
Cr4 0.371 0.888 0.371
Sb1 0.750 0.750 0.750


Record 6
Material: Bi2Se2S
Method: DFT, GGA-PBEsol
State: optimized geometry

As for the raw formation energy: -0.375 eV/atom. The value obtained for the total magnetic moment is 0.000 μB/atom. The calculation puts the calculated volume at 130 Å³/f.u.

Cell lengths 4.069, 11.224, 11.424 Å; angles 90.00, 90.00, 90.00 degrees
Sites, in units of the cell vectors:
Bi1 0.250 0.166 0.506
Bi2 0.250 0.334 0.006
Bi3 0.750 0.834 0.494
Bi4 0.750 0.666 0.994
Bi5 0.750 0.466 0.667
Bi6 0.750 0.034 0.167
Bi7 0.250 0.534 0.333
Bi8 0.250 0.966 0.833
Se1 0.250 0.634 0.553
Se2 0.250 0.866 0.053
Se3 0.750 0.366 0.447
Se4 0.750 0.134 0.947
Se5 0.250 0.298 0.725
Se6 0.250 0.202 0.225
Se7 0.750 0.702 0.275
Se8 0.750 0.798 0.775
S1 0.750 0.055 0.620
S2 0.750 0.445 0.120
S3 0.250 0.945 0.380
S4 0.250 0.555 0.880


Record 7
Material: Sc5Si4
Method: DFT, GGA-PBEsol
State: optimized geometry

The density of states at the Fermi level comes out at 8.7 states/eV/f.u. As for the raw formation energy: -0.841 eV/atom. The value obtained for the total magnetic moment is 0.000 μB/atom. The calculation puts the calculated volume at 165 Å³/f.u.

Cell lengths 6.856, 7.142, 13.500 Å; angles 90.00, 90.00, 90.00 degrees
Sites, in units of the cell vectors:
Sc1 0.841 0.005 0.750
Sc2 0.159 0.995 0.250
Sc3 0.659 0.505 0.250
Sc4 0.341 0.495 0.750
Sc5 0.013 0.320 0.596
Sc6 0.987 0.680 0.404
Sc7 0.487 0.820 0.404
Sc8 0.987 0.680 0.096
Sc9 0.513 0.180 0.596
Sc10 0.013 0.320 0.904
Sc11 0.513 0.180 0.904
Sc12 0.487 0.820 0.096
Sc13 0.670 0.677 0.626
Sc14 0.330 0.323 0.374
Sc15 0.830 0.177 0.374
Sc16 0.330 0.323 0.126
Sc17 0.170 0.823 0.626
Sc18 0.670 0.677 0.874
Sc19 0.170 0.823 0.874
Sc20 0.830 0.177 0.126
Si1 0.970 0.603 0.750
Si2 0.030 0.397 0.250
Si3 0.530 0.103 0.250
Si4 0.470 0.897 0.750
Si5 0.716 0.364 0.750
Si6 0.284 0.636 0.250
Si7 0.784 0.864 0.250
Si8 0.216 0.136 0.750
Si9 0.839 0.968 0.539
Si10 0.161 0.032 0.461
Si11 0.661 0.468 0.461
Si12 0.161 0.032 0.039
Si13 0.339 0.532 0.539
Si14 0.839 0.968 0.961
Si15 0.339 0.532 0.961
Si16 0.661 0.468 0.039


Record 8
Material: SrRe2OsI
Method: DFT, GGA-PBEsol
State: optimized geometry

The density of states at the Fermi level comes out at 8.8 states/eV/f.u. As for the raw formation energy: 3.990 eV/atom. The value obtained for the total magnetic moment is 0.004 μB/atom. The calculation puts the calculated volume at 124 Å³/f.u.

Cell lengths 4.764, 4.764, 5.454 Å; angles 90.00, 90.00, 90.00 degrees
Sites, in units of the cell vectors:
I1 0.000 0.000 0.500
Re1 0.000 0.500 0.000
Re2 0.500 0.000 0.000
Os1 0.500 0.500 0.500
Sr1 0.000 0.000 0.000


Record 9
Material: LiTlHg
Method: DFT, GGA-PBEsol
State: optimized geometry

The density of states at the Fermi level comes out at 1.0 states/eV/f.u. The value obtained for the total magnetic moment is 0.000 μB/atom. As for the calculated formation energy: -0.22 eV per atom. Its relative energy among the computed polymorphs is 0.008 eV per atom. The calculation puts the calculated volume at 65 Å³/f.u.

Cell lengths 3.802, 3.802, 5.237 Å; angles 111.28, 111.29, 90.00 degrees
Sites, in units of the cell vectors:
Tl1 0.335 0.335 0.670
Hg1 0.003 0.003 0.007
Li1 0.662 0.662 0.323


Record 10
Material: Mg2CdAs
Method: DFT, GGA-PBEsol
State: optimized geometry

The density of states at the Fermi level comes out at 1.3 states/eV/f.u. The value obtained for the total magnetic moment is 0.000 μB/atom. As for the calculated formation energy: -0.21 eV per atom. Its relative energy among the computed polymorphs is 0.001 eV per atom. The calculation puts the calculated volume at 80 Å³/f.u.

Cell lengths 3.889, 4.433, 4.620 Å; angles 90.00, 90.00, 90.00 degrees
Sites, in units of the cell vectors:
As1 0.500 0.500 0.000
Mg1 0.000 0.000 0.000
Mg2 0.000 0.500 0.500
Cd1 0.500 0.000 0.500


Record 11
Material: LaSn3Hg
Method: DFT, GGA-PBEsol
State: optimized geometry

The density of states at the Fermi level comes out at 3.5 states/eV/f.u. The value obtained for the total magnetic moment is 0.000 μB/atom. As for the calculated formation energy: 0.15 eV per atom. The calculation puts the calculated volume at 159 Å³/f.u.

Cell lengths 5.423, 5.423, 5.423 Å; angles 90.00, 90.00, 90.00 degrees
Sites, in units of the cell vectors:
Hg1 0.000 0.000 0.000
Sn1 0.000 0.500 0.000
Sn2 0.000 0.000 0.500
Sn3 0.500 0.000 0.000
La1 0.500 0.500 0.500


Record 12
Material: La2PSe
Method: DFT, GGA-PBEsol
State: optimized geometry

The density of states at the Fermi level comes out at 1.5 states/eV/f.u. As for the raw formation energy: -1.861 eV/atom. The value obtained for the total magnetic moment is 0.000 μB/atom. Its relative energy among the computed polymorphs is 0.000 eV per atom. The calculation puts the calculated volume at 108 Å³/f.u.

Cell lengths 4.227, 4.227, 7.390 Å; angles 73.38, 73.38, 60.00 degrees
Sites, in units of the cell vectors:
P1 0.500 0.500 0.500
Se1 0.000 0.000 0.000
La1 0.245 0.245 0.265
La2 0.755 0.755 0.735


Record 13
Material: Li3CdTe
Method: DFT, GGA-PBEsol
State: optimized geometry

The density of states at the Fermi level comes out at 2.5 states/eV/f.u. As for the raw formation energy: -0.331 eV/atom. The value obtained for the total magnetic moment is 0.000 μB/atom. The calculation puts the calculated volume at 137 Å³/f.u.

Cell lengths 5.158, 5.158, 5.158 Å; angles 90.00, 90.00, 90.00 degrees
Sites, in units of the cell vectors:
Te1 0.000 0.000 0.000
Li1 0.000 0.500 0.000
Li2 0.000 0.000 0.500
Li3 0.500 0.000 0.000
Cd1 0.500 0.500 0.500


Record 14
Material: BeCu5
Method: DFT, GGA-PBEsol
State: optimized geometry

The density of states at the Fermi level comes out at 1.9 states/eV/f.u. The value obtained for the total magnetic moment is 0.000 μB/atom. As for the calculated formation energy: 0.00 eV per atom. Its relative energy among the computed polymorphs is 0.028 eV per atom. The calculation puts the calculated volume at 64 Å³/f.u.

Cell lengths 2.498, 4.033, 6.496 Å; angles 90.00, 101.09, 90.00 degrees
Sites, in units of the cell vectors:
Be1 0.999 0.000 0.999
Cu1 0.338 0.000 0.676
Cu2 0.660 0.000 0.320
Cu3 0.448 0.500 0.895
Cu4 0.778 0.500 0.556
Cu5 0.110 0.500 0.220


Record 15
Material: CrPRu
Method: DFT, GGA-PBEsol
State: optimized geometry

The density of states at the Fermi level comes out at 3.8 states/eV/f.u. The value obtained for the total magnetic moment is 0.034 μB/atom. As for the calculated formation energy: -0.09 eV per atom. The calculation puts the calculated volume at 36 Å³/f.u.

Cell lengths 2.707, 2.707, 5.720 Å; angles 90.00, 90.00, 120.00 degrees
Sites, in units of the cell vectors:
Cr1 0.000 0.000 0.986
P1 0.333 0.667 0.674
Ru1 0.667 0.333 0.340


Record 16
Material: BaLa2CuSb
Method: DFT, GGA-PBEsol
State: optimized geometry

The density of states at the Fermi level comes out at 6.3 states/eV/f.u. As for the raw formation energy: 0.790 eV/atom. The value obtained for the total magnetic moment is 0.000 μB/atom. The calculation puts the calculated volume at 166 Å³/f.u.

Cell lengths 4.873, 5.832, 5.832 Å; angles 90.00, 90.00, 90.00 degrees
Sites, in units of the cell vectors:
Sb1 0.500 0.500 0.500
Ba1 0.000 0.000 0.000
Cu1 0.500 0.000 0.000
La1 0.000 0.000 0.500
La2 0.000 0.500 0.000


Record 17
Material: LiCdAg
Method: DFT, GGA-PBEsol
State: optimized geometry

The density of states at the Fermi level comes out at 0.9 states/eV/f.u. The value obtained for the total magnetic moment is 0.000 μB/atom. As for the calculated formation energy: -0.20 eV per atom. Its relative energy among the computed polymorphs is 0.009 eV per atom. The calculation puts the calculated volume at 50 Å³/f.u.

Cell lengths 3.293, 3.293, 5.178 Å; angles 108.54, 108.54, 90.00 degrees
Sites, in units of the cell vectors:
Cd1 0.329 0.329 0.658
Ag1 0.011 0.011 0.022
Li1 0.660 0.660 0.320


Record 18
Material: MgWBr2
Method: DFT, GGA-PBEsol
State: optimized geometry

The density of states at the Fermi level comes out at 2.5 states/eV/f.u. As for the raw formation energy: 0.391 eV/atom. The value obtained for the total magnetic moment is 0.220 μB/atom. Its relative energy among the computed polymorphs is 0.111 eV per atom. The calculation puts the calculated volume at 89 Å³/f.u.

Cell lengths 3.080, 3.283, 9.947 Å; angles 90.00, 90.00, 117.97 degrees
Sites, in units of the cell vectors:
Br1 0.000 0.000 0.793
Br2 0.000 0.000 0.207
Mg1 0.500 0.000 0.500
W1 0.500 0.000 0.000


Record 19
Material: CaZr2Cu
Method: DFT, GGA-PBEsol
State: optimized geometry

The density of states at the Fermi level comes out at 4.4 states/eV/f.u. The value obtained for the total magnetic moment is 0.000 μB/atom. As for the calculated formation energy: 0.28 eV per atom. Its relative energy among the computed polymorphs is 0.000 eV per atom. The calculation puts the calculated volume at 85 Å³/f.u.

Cell lengths 3.370, 4.998, 5.898 Å; angles 115.07, 106.60, 90.00 degrees
Sites, in units of the cell vectors:
Ca1 0.535 0.535 0.069
Cu1 0.261 0.761 0.523
Zr1 0.961 0.961 0.922
Zr2 0.743 0.243 0.486


Record 20
Material: Be3FeS
Method: DFT, GGA-PBEsol
State: optimized geometry

The density of states at the Fermi level comes out at 5.2 states/eV/f.u. As for the raw formation energy: 0.892 eV/atom. The value obtained for the total magnetic moment is 0.463 μB/atom. The calculation puts the calculated volume at 62 Å³/f.u.

Cell lengths 3.960, 3.960, 3.960 Å; angles 90.00, 90.00, 90.00 degrees
Sites, in units of the cell vectors:
Be1 0.000 0.500 0.000
Be2 0.000 0.000 0.500
Be3 0.500 0.000 0.000
S1 0.000 0.000 0.000
Fe1 0.500 0.500 0.500